# LiAg8Sn5

An optimized crystal structure of LiAg8Sn5 (PBE-GGA, Alexandria).

Properties
VASP energy: -3.1721 eV per atom
space group: I-4
formation energy from the elements: 23 meV/atom

Lattice parameters (Å, degrees): 7.2625 7.2625 7.2625 109.70 109.70 109.01
Element x y z (fractional)
Li  0.0000  0.0000  0.0000
Ag  0.1575  0.1001  0.7504
Ag  0.3497  0.4072  0.2496
Ag  0.3952  0.0018  0.2627
Ag  0.5928  0.8425  0.9425
Ag  0.7391  0.1326  0.7373
Ag  0.8674  0.6048  0.6065
Ag  0.8999  0.6503  0.0575
Ag  0.9982  0.2609  0.3935
Sn  0.1798  0.5322  0.9054
Sn  0.2500  0.7500  0.5000
Sn  0.4678  0.3732  0.6476
Sn  0.6268  0.2744  0.0946
Sn  0.7256  0.8202  0.3524